The following is a DFT calculation (PBE+U) of a relaxed structure of V2FeAgO7.

Calculated volume in A^3/atom: 13.580
DFT total energy in eV per atom: -6.8137

Unit cell a=5.7120 b=7.5973 c=7.8091 alpha=64.41 beta=89.41 gamma=78.79
Last column: nearest neighbours and their distance in Å.
Fractional positions:
V (0.1926, 0.2264, 0.2893)  4 O 1.66-1.83
V (0.2046, 0.2195, 0.7533)  4 O 1.69-1.81
V (0.7954, 0.7805, 0.2467)  4 O 1.69-1.81
V (0.8074, 0.7736, 0.7107)  4 O 1.66-1.83
Fe (0.3251, 0.6816, 0.0225)  6 O 1.97-2.11
Fe (0.6749, 0.3184, 0.9775)  6 O 1.97-2.11
Ag (0.3352, 0.6656, 0.5452)  2 O 2.21-2.26
Ag (0.6648, 0.3344, 0.4548)  2 O 2.21-2.26
O (0.0676, 0.6773, 0.1966)  1 V 1.72
O (0.0903, 0.7004, 0.8243)  1 V 1.72
O (0.1730, 0.2576, 0.5086)  2 V 1.81-1.83
O (0.2843, 0.9739, 0.9042)  1 V 1.69
O (0.2929, 0.9852, 0.3483)  1 V 1.66
O (0.3959, 0.3678, 0.1374)  1 V 1.81
O (0.4237, 0.3463, 0.7738)  1 V 1.77
O (0.5763, 0.6537, 0.2262)  1 V 1.77
O (0.6041, 0.6322, 0.8626)  1 V 1.81
O (0.7071, 0.0148, 0.6517)  1 V 1.66
O (0.7157, 0.0261, 0.0958)  1 V 1.69
O (0.8270, 0.7424, 0.4914)  2 V 1.81-1.83
O (0.9097, 0.2996, 0.1757)  1 V 1.72
O (0.9324, 0.3227, 0.8034)  1 V 1.72